# PmMn2VO8 | Alexandria via LeMat-Bulk | PBE+U | optimized geometry
data_PmMn2VO8
_space_group_name_H-M_alt 'P 1'
_space_group_IT_number 1
_cell_length_a 4.676
_cell_length_b 4.672
_cell_length_c 6.351
_cell_angle_alpha 89.98
_cell_angle_beta 89.98
_cell_angle_gamma 87.39
loop_
_space_group_symop_operation_xyz
'x,y,z'
loop_
_atom_site_label
_atom_site_fract_x
_atom_site_fract_y
_atom_site_fract_z
Pm1 0.000 0.000 0.500
Mn1 0.500 0.500 0.763
Mn2 0.500 0.500 0.237
V1 0.000 0.000 0.000
O1 0.202 0.796 0.207
O2 0.694 0.695 0.000
O3 0.798 0.203 0.207
O4 0.798 0.204 0.793
O5 0.306 0.305 0.000
O6 0.202 0.797 0.793
O7 0.664 0.666 0.500
O8 0.336 0.334 0.500
# Total magnetization ... 6.00 μB per formula unit
# Energy ... -88.16 eV/cell